Record 1
This record from Alexandria via LeMat-Bulk describes crystalline BaTmGa4 at its relaxed geometry. The functional is PBE.

For the formation energy, the calculation gives -337.1 meV/atom.

It has space group F-43m (No. 216), with a = 8.1186 Å, b = 8.1186 Å, c = 8.1186 Å, α = 90.00°, β = 90.00° and γ = 90.00°. The distinct sites, in fractional coordinates, are Ba at (0.0000, 0.0000, 0.0000), Tm at (0.2500, 0.2500, 0.7500) and Ga at (0.1245, 0.1245, 0.3755).



Record 2
This record from Alexandria via LeMat-Bulk describes crystalline Ba2VGa4 at its relaxed geometry. The functional is PBE.

For the formation energy, the calculation gives -178.3 meV/atom.

It has space group I4/mmm (No. 139), with a = 4.9503 Å, b = 4.9503 Å, c = 17.0595 Å, α = 90.00°, β = 90.00° and γ = 90.00°. The distinct sites, in fractional coordinates, are Ba at (0.0000, 0.0000, 0.1462), V at (0.0000, 0.0000, 0.5000), Ga at (0.0000, 0.0000, 0.3599) and Ga at (0.0000, 0.5000, 0.0000).



Record 3
This record from Alexandria via LeMat-Bulk describes crystalline Ba2VGa at its relaxed geometry. The functional is PBE.

For the formation energy, the calculation gives 651.9 meV/atom.

It has space group I-42d (No. 122), with a = 9.0901 Å, b = 9.0901 Å, c = 6.6327 Å, α = 90.00°, β = 90.00° and γ = 90.00°. The distinct sites, in fractional coordinates, are Ba at (0.2437, 0.2500, 0.1250), V at (0.0000, 0.0000, 0.0000) and Ga at (0.0000, 0.0000, 0.5000).



Record 4
This record from Alexandria via LeMat-Bulk describes crystalline BaVGa3 at its relaxed geometry. The functional is PBE.

For the formation energy, the calculation gives -226.4 meV/atom.

It has space group Pm-3m (No. 221), with a = 4.9402 Å, b = 4.9402 Å, c = 4.9402 Å, α = 90.00°, β = 90.00° and γ = 90.00°. The distinct sites, in fractional coordinates, are Ba at (0.0000, 0.0000, 0.0000), V at (0.5000, 0.5000, 0.5000) and Ga at (0.0000, 0.5000, 0.5000).



Record 5
This record from Alexandria via LeMat-Bulk describes crystalline BaV3Ga at its relaxed geometry. The functional is PBE.

For the formation energy, the calculation gives 969.6 meV/atom.

It has space group Pm-3m (No. 221), with a = 5.0363 Å, b = 5.0363 Å, c = 5.0363 Å, α = 90.00°, β = 90.00° and γ = 90.00°. The distinct sites, in fractional coordinates, are Ba at (0.0000, 0.0000, 0.0000), V at (0.0000, 0.5000, 0.5000) and Ga at (0.5000, 0.5000, 0.5000).



Record 6
This record from Alexandria via LeMat-Bulk describes crystalline BaVGa3 at its relaxed geometry. The functional is PBE.

For the formation energy, the calculation gives 1512.1 meV/atom.

It has space group Pm-3m (No. 221), with a = 5.7680 Å, b = 5.7680 Å, c = 5.7680 Å, α = 90.00°, β = 90.00° and γ = 90.00°. The distinct sites, in fractional coordinates, are Ba at (0.0000, 0.0000, 0.0000), V at (0.5000, 0.5000, 0.5000) and Ga at (0.0000, 0.0000, 0.5000).



Record 7
This record from Alexandria via LeMat-Bulk describes crystalline BaV3Ga at its relaxed geometry. The functional is PBE.

For the formation energy, the calculation gives 2369.4 meV/atom.

It has space group Pm-3m (No. 221), with a = 4.7866 Å, b = 4.7866 Å, c = 4.7866 Å, α = 90.00°, β = 90.00° and γ = 90.00°. The distinct sites, in fractional coordinates, are Ba at (0.0000, 0.0000, 0.0000), V at (0.0000, 0.0000, 0.5000) and Ga at (0.5000, 0.5000, 0.5000).



Record 8
This record from Alexandria via LeMat-Bulk describes crystalline Ba3VGa at its relaxed geometry. The functional is PBE.

For the formation energy, the calculation gives 673.4 meV/atom.

It has space group Pm-3m (No. 221), with a = 6.1320 Å, b = 6.1320 Å, c = 6.1320 Å, α = 90.00°, β = 90.00° and γ = 90.00°. The distinct sites, in fractional coordinates, are Ba at (0.0000, 0.0000, 0.5000), V at (0.0000, 0.0000, 0.0000) and Ga at (0.5000, 0.5000, 0.5000).



Number 1: energy -82.099 eV/cell. Number 2: energy -52.639 eV/cell. Number 3: energy -53.534 eV/cell. Number 4: energy -21.254 eV/cell. Number 5: energy -27.458 eV/cell. Number 6: energy -12.562 eV/cell. Number 7: energy -20.458 eV/cell. Number 8: energy -14.547 eV/cell.